A relaxed structure of LaO2, computed with PBE. Values from VASP.

The structure in Quantum ESPRESSO input format:
```
&SYSTEM
  ibrav = 0, nat = 12, ntyp = 2
/
ATOMIC_SPECIES
La 138.91 La.upf
O 16.00 O.upf
CELL_PARAMETERS angstrom
-0.3712 0.6740 4.2518
1.9283 -3.1556 0.6686
9.9243 6.0451 -0.0919
ATOMIC_POSITIONS angstrom
La 8.7687 5.3412 -0.0812
La 4.7707 0.7409 0.2991
La 1.5054 1.3670 2.1102
La 7.4317 2.8118 2.3986
O 7.7190 5.1519 2.0527
O 3.7210 0.5516 2.4329
O 5.0621 3.3762 1.3349
O 4.9324 3.6118 2.8209
O 1.0641 -1.2241 1.7151
O 0.9344 -0.9885 3.2012
O 2.5771 1.5698 -0.0239
O 8.5035 3.0146 0.2645
```

Results
The calculation puts the total energy at -93.8 eV per cell. For the density, the calculation gives 6.02 Mg/m³. The density of states at the Fermi level is 0.0 states/eV per cell. As for the uncorrected formation energy: -2865 meV/atom.


A relaxed structure of La2O, computed with PBE. Values from VASP.

The structure in Quantum ESPRESSO input format:
```
&SYSTEM
  ibrav = 0, nat = 3, ntyp = 2
/
ATOMIC_SPECIES
O 16.00 O.upf
La 138.91 La.upf
CELL_PARAMETERS angstrom
-0.1498 -3.0868 0.9009
0.4588 -0.9177 -3.0511
6.3677 2.0275 2.0934
ATOMIC_POSITIONS angstrom
O 0.1545 -2.0022 -1.0751
La 1.5571 0.0230 0.2524
La 5.1196 -1.9999 -0.3092
```

Results
The calculation puts the total energy at -18.6 eV per cell. For the density, the calculation gives 7.13 Mg/m³. The distance to the lowest polymorph of the same formula comes out at 0.592 eV/atom. The density of states at the Fermi level is 2.9 states/eV per cell. As for the uncorrected formation energy: -1279 meV/atom.


A relaxed structure of LaO2, computed with PBE. Values from VASP.

The structure in Quantum ESPRESSO input format:
```
&SYSTEM
  ibrav = 0, nat = 12, ntyp = 2
/
ATOMIC_SPECIES
La 138.91 La.upf
O 16.00 O.upf
CELL_PARAMETERS angstrom
6.5337 0.0000 -0.0018
0.0000 4.4935 0.0000
-0.9178 0.0000 6.2846
ATOMIC_POSITIONS angstrom
La 2.0857 0.0000 3.1650
La 2.5446 2.2468 0.0227
La 5.8684 0.0000 0.5226
La 5.4095 2.2468 3.6648
O 6.0738 0.0000 2.9672
O 5.6149 2.2468 6.1094
O 1.9410 0.0000 0.7020
O 1.4821 2.2468 3.8443
O 0.6462 0.0000 5.5397
O 1.1051 2.2468 2.3974
O 3.4722 0.0000 5.0027
O 3.9311 2.2468 1.8604
```

Results
The calculation puts the total energy at -92.2 eV per cell. For the density, the calculation gives 6.15 Mg/m³. The density of states at the Fermi level is 0.0 states/eV per cell. As for the uncorrected formation energy: -2732 meV/atom.


A relaxed structure of La3O4, computed with PBE. Values from VASP.

The structure in Quantum ESPRESSO input format:
```
&SYSTEM
  ibrav = 0, nat = 14, ntyp = 2
/
ATOMIC_SPECIES
La 138.91 La.upf
O 16.00 O.upf
CELL_PARAMETERS angstrom
6.5623 0.0000 0.0000
-2.1874 6.1870 0.0000
-2.1874 -3.0935 5.3581
ATOMIC_POSITIONS angstrom
La -0.5469 1.5468 1.3395
La 0.5469 1.9335 4.6884
La 3.8280 -0.3867 3.3488
La -0.5469 5.0270 0.6698
La 2.7343 2.7068 2.0093
La 0.5469 -1.5468 4.0186
O 1.2481 3.0935 0.0000
O 1.4068 0.6611 2.6791
O -0.7806 -1.1039 1.9121
O 3.5943 0.4428 0.7670
O -1.8743 -2.6507 4.5912
O -1.8743 1.9896 3.4460
O 4.5293 3.0935 0.0000
O 0.3131 3.7547 2.6791
```

Results
The calculation puts the total energy at -112.3 eV per cell. For the density, the calculation gives 7.34 Mg/m³. The density of states at the Fermi level is 11.4 states/eV per cell. As for the uncorrected formation energy: -3075 meV/atom.


A relaxed structure of LaOsO5, computed with PBE. Values from VASP.

The structure in Quantum ESPRESSO input format:
```
&SYSTEM
  ibrav = 0, nat = 14, ntyp = 3
/
ATOMIC_SPECIES
La 138.91 La.upf
Os 190.23 Os.upf
O 16.00 O.upf
CELL_PARAMETERS angstrom
-1.9137 5.4189 -0.2942
-4.8980 0.4447 2.9874
1.3821 3.5650 6.6607
ATOMIC_POSITIONS angstrom
La -2.9207 4.0559 2.8582
La -2.5090 5.3727 6.4957
Os 0.0000 0.0000 0.0000
Os 0.6911 1.7825 3.3303
O -5.1948 5.0830 2.7971
O -3.3255 3.4776 5.1263
O -4.5847 6.7306 6.2164
O -1.7922 5.9368 1.6173
O -4.0648 2.0522 2.2934
O -1.3648 7.3763 7.0606
O -3.6374 3.4918 7.7366
O -0.8450 2.6979 3.1376
O -2.1042 5.9509 4.2276
O -0.2348 4.3455 6.5569
```

Results
The calculation puts the total energy at -107.9 eV per cell. For the density, the calculation gives 6.20 Mg/m³. The density of states at the Fermi level is 2.3 states/eV per cell. As for the uncorrected formation energy: -1856 meV/atom.


A relaxed structure of La3OsO6, computed with PBE. Values from VASP.

The structure in Quantum ESPRESSO input format:
```
&SYSTEM
  ibrav = 0, nat = 20, ntyp = 3
/
ATOMIC_SPECIES
La 138.91 La.upf
Os 190.23 Os.upf
O 16.00 O.upf
CELL_PARAMETERS angstrom
5.8887 0.0000 0.0000
0.0000 7.6960 -0.1310
0.0000 -1.8450 7.4727
ATOMIC_POSITIONS angstrom
La 2.6614 5.6915 5.0101
La 5.6058 3.6138 6.6660
La 2.4472 1.9765 4.4272
La 5.3916 3.8745 2.9146
La 5.6058 0.1595 2.3316
La 2.6614 2.2372 0.6758
Os 5.8154 0.1864 5.8538
Os 2.8711 5.6646 1.4880
O 1.1072 3.9619 4.7377
O 4.0515 3.7342 4.9192
O 1.1941 1.5613 6.6162
O 4.1385 6.1009 2.9984
O 1.2832 -1.1134 6.8897
O 3.9972 0.1965 5.8457
O 1.0528 5.6545 1.4960
O 4.2276 6.9644 0.4521
O 1.1941 -0.2499 4.3434
O 4.1385 4.2896 0.7256
O 1.1072 2.1168 2.4226
O 4.0515 1.8891 2.6041
```

Results
The calculation puts the total energy at -162.8 eV per cell. For the density, the calculation gives 6.92 Mg/m³. The density of states at the Fermi level is 1.6 states/eV per cell. As for the uncorrected formation energy: -2566 meV/atom.


A relaxed structure of La4Os6O19, computed with PBE. Values from VASP.

The structure in Quantum ESPRESSO input format:
```
&SYSTEM
  ibrav = 0, nat = 29, ntyp = 3
/
ATOMIC_SPECIES
La 138.91 La.upf
Os 190.23 Os.upf
O 16.00 O.upf
CELL_PARAMETERS angstrom
7.9281 0.0000 0.0000
-2.6427 7.4747 0.0000
-2.6427 -3.7373 6.4733
ATOMIC_POSITIONS angstrom
La -0.8286 -1.1719 2.0297
La -0.8286 2.3437 0.0000
La 1.8141 2.5655 4.4435
La 2.4859 0.0000 0.0000
Os -0.7246 0.5124 5.5858
Os 4.5608 0.8440 3.2366
Os 1.9181 -1.3563 4.1241
Os -1.9181 2.8934 3.2366
Os 0.7246 5.0937 2.3492
Os 3.3673 3.2250 0.8874
O 1.7122 -1.2107 2.0971
O 1.7122 2.4215 0.0000
O -3.5732 2.5266 4.3762
O 3.5732 5.0532 0.0000
O -1.7122 1.2107 2.0971
O 3.5732 -2.5266 4.3762
O 0.0000 0.0000 0.0000
O 0.3671 -0.1553 4.0630
O -2.2757 -0.1411 4.5763
O 3.0098 0.2963 4.3073
O -0.7239 2.2620 4.6967
O -2.0172 4.6078 4.1869
O 3.2683 1.5448 1.8970
O -0.2687 3.3715 2.2864
O 4.5616 -0.8009 2.1660
O 5.0167 3.8089 1.7766
O 2.3740 4.0316 2.4103
O 1.9188 -1.4611 6.0839
O 0.6255 5.0594 0.3893
```

Results
The calculation puts the total energy at -235.6 eV per cell. For the density, the calculation gives 8.66 Mg/m³. The density of states at the Fermi level is 14.6 states/eV per cell. As for the uncorrected formation energy: -1871 meV/atom.


A relaxed structure of La3Os2O10, computed with PBE. Values from VASP.

The structure in Quantum ESPRESSO input format:
```
&SYSTEM
  ibrav = 0, nat = 15, ntyp = 3
/
ATOMIC_SPECIES
La 138.91 La.upf
Os 190.23 Os.upf
O 16.00 O.upf
CELL_PARAMETERS angstrom
-3.9526 1.8177 3.5897
1.9703 -3.5705 3.8965
3.2126 3.8137 4.9554
ATOMIC_POSITIONS angstrom
La -0.9911 -0.8764 3.7431
La -0.9042 2.4126 6.1421
La 2.1346 -0.3518 6.2995
Os 2.3887 2.9139 5.0602
Os -1.1584 -0.8531 7.3814
O -0.1251 0.3496 8.5561
O 1.3554 1.7112 3.8855
O -0.2731 0.0341 5.8716
O 1.5035 2.0268 6.5700
O 2.8181 0.4850 8.7647
O 1.1866 1.9224 10.8555
O 0.0438 0.1384 1.5861
O -0.2753 3.2991 8.6044
O -1.5877 1.5759 3.6769
O 1.5057 -1.2382 3.8371
```

Results
The calculation puts the total energy at -121.6 eV per cell. For the density, the calculation gives 7.88 Mg/m³. The density of states at the Fermi level is 3.1 states/eV per cell. As for the uncorrected formation energy: -2316 meV/atom.


Repeat the fourth record exactly.
A relaxed structure of La3O4, computed with PBE. Values from VASP.

The structure in Quantum ESPRESSO input format:
```
&SYSTEM
  ibrav = 0, nat = 14, ntyp = 2
/
ATOMIC_SPECIES
La 138.91 La.upf
O 16.00 O.upf
CELL_PARAMETERS angstrom
6.5623 0.0000 0.0000
-2.1874 6.1870 0.0000
-2.1874 -3.0935 5.3581
ATOMIC_POSITIONS angstrom
La -0.5469 1.5468 1.3395
La 0.5469 1.9335 4.6884
La 3.8280 -0.3867 3.3488
La -0.5469 5.0270 0.6698
La 2.7343 2.7068 2.0093
La 0.5469 -1.5468 4.0186
O 1.2481 3.0935 0.0000
O 1.4068 0.6611 2.6791
O -0.7806 -1.1039 1.9121
O 3.5943 0.4428 0.7670
O -1.8743 -2.6507 4.5912
O -1.8743 1.9896 3.4460
O 4.5293 3.0935 0.0000
O 0.3131 3.7547 2.6791
```

Results
The calculation puts the total energy at -112.3 eV per cell. For the density, the calculation gives 7.34 Mg/m³. The density of states at the Fermi level is 11.4 states/eV per cell. As for the uncorrected formation energy: -3075 meV/atom.


Please write out number 6 again, unchanged.
A relaxed structure of La3OsO6, computed with PBE. Values from VASP.

The structure in Quantum ESPRESSO input format:
```
&SYSTEM
  ibrav = 0, nat = 20, ntyp = 3
/
ATOMIC_SPECIES
La 138.91 La.upf
Os 190.23 Os.upf
O 16.00 O.upf
CELL_PARAMETERS angstrom
5.8887 0.0000 0.0000
0.0000 7.6960 -0.1310
0.0000 -1.8450 7.4727
ATOMIC_POSITIONS angstrom
La 2.6614 5.6915 5.0101
La 5.6058 3.6138 6.6660
La 2.4472 1.9765 4.4272
La 5.3916 3.8745 2.9146
La 5.6058 0.1595 2.3316
La 2.6614 2.2372 0.6758
Os 5.8154 0.1864 5.8538
Os 2.8711 5.6646 1.4880
O 1.1072 3.9619 4.7377
O 4.0515 3.7342 4.9192
O 1.1941 1.5613 6.6162
O 4.1385 6.1009 2.9984
O 1.2832 -1.1134 6.8897
O 3.9972 0.1965 5.8457
O 1.0528 5.6545 1.4960
O 4.2276 6.9644 0.4521
O 1.1941 -0.2499 4.3434
O 4.1385 4.2896 0.7256
O 1.1072 2.1168 2.4226
O 4.0515 1.8891 2.6041
```

Results
The calculation puts the total energy at -162.8 eV per cell. For the density, the calculation gives 6.92 Mg/m³. The density of states at the Fermi level is 1.6 states/eV per cell. As for the uncorrected formation energy: -2566 meV/atom.


- The highest density belongs to which entry?
  La4Os6O19